Record 1
{"formula": "Mg14AlCoO16", "functional": "meta-GGA SCAN", "state": "single point on PBEsol structure", "magnetic_moment_mub_per_cell": 2.00, "rho_g_cm3": 3.79, "spacegroup": "No. 123", "formation_energy_uncorrected_ev_per_atom": -2.87, "final_energy_ev_per_atom": -8.941, "de_polymorph_mev_per_atom": 13, "lattice": [[8.435, 0.000, 0.000], [0.000, 8.435, 0.000], [0.000, 0.000, 4.198]], "species": ["Mg", "Mg", "Mg", "Mg", "Mg", "Mg", "Mg", "Mg", "Mg", "Mg", "Mg", "Mg", "Mg", "Mg", "Al", "Co", "O", "O", "O", "O", "O", "O", "O", "O", "O", "O", "O", "O", "O", "O", "O", "O"], "frac_coords": [[0.000, 0.244, 0.000], [0.000, 0.500, 0.500], [0.000, 0.756, 0.000], [0.244, 0.000, 0.000], [0.244, 0.244, 0.500], [0.244, 0.756, 0.500], [0.248, 0.500, 0.000], [0.500, 0.000, 0.500], [0.500, 0.248, 0.000], [0.500, 0.752, 0.000], [0.752, 0.500, 0.000], [0.756, 0.000, 0.000], [0.756, 0.244, 0.500], [0.756, 0.756, 0.500], [0.500, 0.500, 0.500], [0.000, 0.000, 0.500], [0.000, 0.000, 0.000], [0.000, 0.265, 0.500], [0.000, 0.500, 0.000], [0.000, 0.735, 0.500], [0.251, 0.251, 0.000], [0.251, 0.749, 0.000], [0.265, 0.000, 0.500], [0.271, 0.500, 0.500], [0.500, 0.000, 0.000], [0.500, 0.271, 0.500], [0.500, 0.500, 0.000], [0.500, 0.729, 0.500], [0.729, 0.500, 0.500], [0.735, 0.000, 0.500], [0.749, 0.251, 0.000], [0.749, 0.749, 0.000]]}


Record 2
{"formula": "Mg30AlCoO32", "functional": "meta-GGA SCAN", "state": "single point on PBEsol structure", "magnetic_moment_mub_per_cell": 2.00, "rho_g_cm3": 3.69, "spacegroup": "No. 123", "formation_energy_uncorrected_ev_per_atom": -2.95, "final_energy_ev_per_atom": -8.784, "lattice": [[8.427, 0.000, 0.000], [0.000, 8.427, 0.000], [0.000, 0.000, 8.420]], "species": ["Mg", "Mg", "Mg", "Mg", "Mg", "Mg", "Mg", "Mg", "Mg", "Mg", "Mg", "Mg", "Mg", "Mg", "Mg", "Mg", "Mg", "Mg", "Mg", "Mg", "Mg", "Mg", "Mg", "Mg", "Mg", "Mg", "Mg", "Mg", "Mg", "Mg", "Al", "Co", "O", "O", "O", "O", "O", "O", "O", "O", "O", "O", "O", "O", "O", "O", "O", "O", "O", "O", "O", "O", "O", "O", "O", "O", "O", "O", "O", "O", "O", "O", "O", "O"], "frac_coords": [[0.000, 0.000, 0.000], [0.000, 0.246, 0.253], [0.000, 0.246, 0.747], [0.000, 0.500, 0.000], [0.000, 0.500, 0.500], [0.000, 0.754, 0.253], [0.000, 0.754, 0.747], [0.246, 0.000, 0.253], [0.246, 0.000, 0.747], [0.246, 0.246, 0.500], [0.246, 0.754, 0.500], [0.248, 0.500, 0.250], [0.248, 0.500, 0.750], [0.249, 0.249, 0.000], [0.249, 0.751, 0.000], [0.500, 0.000, 0.000], [0.500, 0.000, 0.500], [0.500, 0.248, 0.250], [0.500, 0.248, 0.750], [0.500, 0.500, 0.000], [0.500, 0.752, 0.250], [0.500, 0.752, 0.750], [0.751, 0.249, 0.000], [0.751, 0.751, 0.000], [0.752, 0.500, 0.250], [0.752, 0.500, 0.750], [0.754, 0.000, 0.253], [0.754, 0.000, 0.747], [0.754, 0.246, 0.500], [0.754, 0.754, 0.500], [0.500, 0.500, 0.500], [0.000, 0.000, 0.500], [0.000, 0.000, 0.240], [0.000, 0.000, 0.760], [0.000, 0.252, 0.000], [0.000, 0.263, 0.500], [0.000, 0.500, 0.251], [0.000, 0.500, 0.749], [0.000, 0.737, 0.500], [0.000, 0.748, 0.000], [0.251, 0.251, 0.251], [0.251, 0.251, 0.749], [0.251, 0.749, 0.251], [0.251, 0.749, 0.749], [0.252, 0.000, 0.000], [0.253, 0.500, 0.000], [0.263, 0.000, 0.500], [0.267, 0.500, 0.500], [0.500, 0.000, 0.251], [0.500, 0.000, 0.749], [0.500, 0.253, 0.000], [0.500, 0.267, 0.500], [0.500, 0.500, 0.264], [0.500, 0.500, 0.736], [0.500, 0.733, 0.500], [0.500, 0.747, 0.000], [0.733, 0.500, 0.500], [0.737, 0.000, 0.500], [0.747, 0.500, 0.000], [0.748, 0.000, 0.000], [0.749, 0.251, 0.251], [0.749, 0.251, 0.749], [0.749, 0.749, 0.251], [0.749, 0.749, 0.749]]}